[1]
# SCAN Sc2FeW, single point on PBEsol structure
# Total magnetization (μB/f.u.): 3.2
# V (A^3/atom): 16.9
# Electronic total energy (eV per atom): -28.67
data_Sc2FeW
_space_group_name_H-M_alt 'I -4 m 2'
_space_group_IT_number 119
_space_group_name_Hall 'I -4 -2'
_cell_length_a 3.983
_cell_length_b 3.983
_cell_length_c 8.499
_cell_angle_alpha 90.00
_cell_angle_beta 90.00
_cell_angle_gamma 90.00
loop_
_atom_site_label
_atom_site_type_symbol
_atom_site_fract_x
_atom_site_fract_y
_atom_site_fract_z
Sc1 Sc 0.000 0.000 0.000
Sc2 Sc 0.000 0.500 0.250
Fe1 Fe 0.000 0.500 0.750
W1 W 0.000 0.000 0.500



[2]
# SCAN TcMo2As, single point on PBEsol structure
# Total magnetization (μB/f.u.): 0.0
# V (A^3/atom): 15.0
# Electronic total energy (eV per atom): -31.03
data_TcMo2As
_space_group_name_H-M_alt 'R 3 m'
_space_group_IT_number 160
_space_group_name_Hall 'R 3 -2"'
_cell_length_a 2.8637
_cell_length_b 2.8637
_cell_length_c 25.3203
_cell_angle_alpha 90.00
_cell_angle_beta 90.00
_cell_angle_gamma 120.00
loop_
_atom_site_label
_atom_site_type_symbol
_atom_site_fract_x
_atom_site_fract_y
_atom_site_fract_z
Tc1 Tc 0.0000 0.0000 0.0000
Mo1 Mo 0.0000 0.0000 0.5047
Mo2 Mo 0.0000 0.0000 0.7494
As1 As 0.0000 0.0000 0.2537



[3]
# SCAN Sr3LiNi, single point on PBEsol structure
# Total magnetization (μB/f.u.): 0.0
# V (A^3/atom): 37.9
# Electronic total energy (eV per atom): -17.02
data_Sr3LiNi
_space_group_name_H-M_alt 'P m -3 m'
_space_group_IT_number 221
_space_group_name_Hall '-P 4 2 3'
_cell_length_a 5.745
_cell_length_b 5.745
_cell_length_c 5.745
_cell_angle_alpha 90.00
_cell_angle_beta 90.00
_cell_angle_gamma 90.00
loop_
_atom_site_label
_atom_site_type_symbol
_atom_site_fract_x
_atom_site_fract_y
_atom_site_fract_z
Sr1 Sr 0.000 0.000 0.500
Li1 Li 0.500 0.500 0.500
Ni1 Ni 0.000 0.000 0.000



[4]
# SCAN N, single point on PBEsol structure
# Formation energy from raw total energies (meV/atom): 1889
# Total magnetization (μB/f.u.): 0.6
# V (A^3/atom): 13.4
data_N
_space_group_name_H-M_alt 'I -4 3 m'
_space_group_IT_number 217
_space_group_name_Hall 'I -4 2 3'
_cell_length_a 6.451
_cell_length_b 6.451
_cell_length_c 6.451
_cell_angle_alpha 90.00
_cell_angle_beta 90.00
_cell_angle_gamma 90.00
loop_
_atom_site_label
_atom_site_type_symbol
_atom_site_fract_x
_atom_site_fract_y
_atom_site_fract_z
N1 N 0.000 0.000 0.255
N2 N 0.123 0.123 0.123



[5]
# SCAN Tc2NiOs, single point on PBEsol structure
# Total magnetization (μB/f.u.): 0.0
# V (A^3/atom): 13.1
# Electronic total energy (eV per atom): -39.62
data_Tc2NiOs
_space_group_name_H-M_alt 'P m m 2'
_space_group_IT_number 25
_cell_length_a 2.693
_cell_length_b 4.217
_cell_length_c 4.622
_cell_angle_alpha 90.00
_cell_angle_beta 90.00
_cell_angle_gamma 90.00
loop_
_space_group_symop_operation_xyz
'x,y,z'
'-x,-y,z'
'-x,y,z'
'x,-y,z'
loop_
_atom_site_label
_atom_site_type_symbol
_atom_site_fract_x
_atom_site_fract_y
_atom_site_fract_z
Tc1 Tc 0.000 0.000 0.000
Tc2 Tc 0.000 0.500 0.338
Ni1 Ni 0.500 0.500 0.849
Os1 Os 0.500 0.000 0.519



[6]
# SCAN Ca2Ti2In, single point on PBEsol structure
# Total magnetization (μB/f.u.): 0.0
# V (A^3/atom): 25.7
# Electronic total energy (eV per atom): -16.77
data_Ca2Ti2In
_space_group_name_H-M_alt 'I 4/m m m'
_space_group_IT_number 139
_space_group_name_Hall '-I 4 2'
_cell_length_a 3.483
_cell_length_b 3.483
_cell_length_c 21.210
_cell_angle_alpha 90.00
_cell_angle_beta 90.00
_cell_angle_gamma 90.00
loop_
_atom_site_label
_atom_site_type_symbol
_atom_site_fract_x
_atom_site_fract_y
_atom_site_fract_z
Ca1 Ca 0.000 0.000 0.108
Ti1 Ti 0.000 0.500 0.250
In1 In 0.000 0.000 0.500



[7]
# SCAN NbO2F, single point on PBEsol structure
# Formation energy from raw total energies (meV/atom): -2838
# Total magnetization (μB/f.u.): 0.0
# V (A^3/atom): 15.6
data_NbO2F
_space_group_name_H-M_alt 'I m m a'
_space_group_IT_number 74
_space_group_name_Hall '-I 2b 2'
_cell_length_a 7.692
_cell_length_b 17.025
_cell_length_c 5.707
_cell_angle_alpha 90.00
_cell_angle_beta 90.00
_cell_angle_gamma 90.00
loop_
_atom_site_label
_atom_site_type_symbol
_atom_site_fract_x
_atom_site_fract_y
_atom_site_fract_z
Nb1 Nb 0.000 0.083 0.230
Nb2 Nb 0.000 0.250 0.682
O1 O 0.000 0.000 0.000
O2 O 0.000 0.167 0.473
O3 O 0.250 0.080 0.250
O4 O 0.250 0.250 0.750
F1 F 0.000 0.000 0.500
F2 F 0.000 0.165 0.984



[8]
# SCAN ZrTiI2Cl, single point on PBEsol structure
# Formation energy from raw total energies (meV/atom): 484
# Total magnetization (μB/f.u.): 5.0
# V (A^3/atom): 34.4
data_ZrTiI2Cl
_space_group_name_H-M_alt 'P 4/m m m'
_space_group_IT_number 123
_space_group_name_Hall '-P 4 2'
_cell_length_a 6.141
_cell_length_b 6.141
_cell_length_c 4.564
_cell_angle_alpha 90.00
_cell_angle_beta 90.00
_cell_angle_gamma 90.00
loop_
_atom_site_label
_atom_site_type_symbol
_atom_site_fract_x
_atom_site_fract_y
_atom_site_fract_z
Zr1 Zr 0.000 0.000 0.000
Ti1 Ti 0.500 0.500 0.000
I1 I 0.000 0.500 0.500
Cl1 Cl 0.000 0.000 0.500



[9]
# SCAN Cd2HgPb, single point on PBEsol structure
# Total magnetization (μB/f.u.): 0.0
# V (A^3/atom): 24.0
# Electronic total energy (eV per atom): -51.15
data_Cd2HgPb
_space_group_name_H-M_alt 'R -3 m'
_space_group_IT_number 166
_space_group_name_Hall '-R 3 2"'
_cell_length_a 3.3475
_cell_length_b 3.3475
_cell_length_c 29.6305
_cell_angle_alpha 90.00
_cell_angle_beta 90.00
_cell_angle_gamma 120.00
loop_
_atom_site_label
_atom_site_type_symbol
_atom_site_fract_x
_atom_site_fract_y
_atom_site_fract_z
Cd1 Cd 0.0000 0.0000 0.2439
Hg1 Hg 0.0000 0.0000 0.5000
Pb1 Pb 0.0000 0.0000 0.0000



[10]
# SCAN Ba2TiRu, single point on PBEsol structure
# Total magnetization (μB/f.u.): 3.2
# V (A^3/atom): 26.6
# Electronic total energy (eV per atom): -31.50
data_Ba2TiRu
_space_group_name_H-M_alt 'F m -3 m'
_space_group_IT_number 225
_space_group_name_Hall '-F 4 2 3'
_cell_length_a 7.525
_cell_length_b 7.525
_cell_length_c 7.525
_cell_angle_alpha 90.00
_cell_angle_beta 90.00
_cell_angle_gamma 90.00
loop_
_atom_site_label
_atom_site_type_symbol
_atom_site_fract_x
_atom_site_fract_y
_atom_site_fract_z
Ba1 Ba 0.250 0.250 0.250
Ti1 Ti 0.000 0.000 0.000
Ru1 Ru 0.000 0.000 0.500



[11]
# SCAN Fe2PClO4, single point on PBEsol structure
# Formation energy from raw total energies (meV/atom): -1846
# Total magnetization (μB/f.u.): 8.0
# V (A^3/atom): 13.0
data_Fe2PClO4
_space_group_name_H-M_alt 'C 1 2/c 1'
_space_group_IT_number 15
_cell_length_a 13.281
_cell_length_b 9.147
_cell_length_c 9.289
_cell_angle_alpha 90.00
_cell_angle_beta 132.46
_cell_angle_gamma 90.00
loop_
_space_group_symop_operation_xyz
'x,y,z'
'-x,-y,-z'
'-x,y,-z+1/2'
'x,-y,z+1/2'
'x+1/2,y+1/2,z'
'-x+1/2,-y+1/2,-z'
'-x+1/2,y+1/2,-z+1/2'
'x+1/2,-y+1/2,z+1/2'
loop_
_atom_site_label
_atom_site_type_symbol
_atom_site_fract_x
_atom_site_fract_y
_atom_site_fract_z
Fe1 Fe 0.000 0.000 0.000
Fe2 Fe 0.000 0.253 0.250
Fe3 Fe 0.168 0.256 0.166
P1 P 0.242 0.004 0.492
Cl1 Cl 0.084 0.256 0.581
O1 O 0.132 0.089 0.293
O2 O 0.158 0.074 0.029
O3 O 0.161 0.383 0.342
O4 O 0.176 0.401 0.021



[12]
# SCAN La2MnSF, single point on PBEsol structure
# Formation energy from raw total energies (meV/atom): -1129
# Total magnetization (μB/f.u.): 0.0
# V (A^3/atom): 21.9
data_La2MnSF
_space_group_name_H-M_alt 'P 4/m m m'
_space_group_IT_number 123
_space_group_name_Hall '-P 4 2'
_cell_length_a 5.111
_cell_length_b 5.111
_cell_length_c 4.183
_cell_angle_alpha 90.00
_cell_angle_beta 90.00
_cell_angle_gamma 90.00
loop_
_atom_site_label
_atom_site_type_symbol
_atom_site_fract_x
_atom_site_fract_y
_atom_site_fract_z
La1 La 0.000 0.500 0.000
Mn1 Mn 0.000 0.000 0.000
S1 S 0.000 0.000 0.500
F1 F 0.500 0.500 0.500



[13]
# SCAN POs2Se, single point on PBEsol structure
# Formation energy from raw total energies (meV/atom): 1007
# Total magnetization (μB/f.u.): 0.0
# V (A^3/atom): 14.7
data_POs2Se
_space_group_name_H-M_alt 'P m m m'
_space_group_IT_number 47
_cell_length_a 2.864
_cell_length_b 4.083
_cell_length_c 5.033
_cell_angle_alpha 90.00
_cell_angle_beta 90.00
_cell_angle_gamma 90.00
loop_
_space_group_symop_operation_xyz
'x,y,z'
'-x,-y,-z'
'-x,-y,z'
'x,y,-z'
'x,-y,-z'
'-x,y,z'
'-x,y,-z'
'x,-y,z'
loop_
_atom_site_label
_atom_site_type_symbol
_atom_site_fract_x
_atom_site_fract_y
_atom_site_fract_z
P1 P 0.000 0.000 0.000
Os1 Os 0.000 0.500 0.500
Os2 Os 0.500 0.500 0.000
Se1 Se 0.500 0.000 0.500



[14]
# SCAN Li7Mn12Cu5O32, single point on PBEsol structure
# Formation energy from raw total energies (meV/atom): -1982
# Total magnetization (μB/f.u.): 32.0
# V (A^3/atom): 9.5
data_Li7Mn12Cu5O32
_space_group_name_H-M_alt 'R 3'
_space_group_IT_number 146
_space_group_name_Hall 'R 3'
_cell_length_a 11.4701
_cell_length_b 11.4701
_cell_length_c 14.0466
_cell_angle_alpha 90.00
_cell_angle_beta 90.00
_cell_angle_gamma 120.00
loop_
_atom_site_label
_atom_site_type_symbol
_atom_site_fract_x
_atom_site_fract_y
_atom_site_fract_z
Li1 Li 0.0000 0.0000 0.0000
Li2 Li 0.0023 0.5043 0.6271
Li3 Li 0.0816 0.6686 0.1668
Mn1 Mn 0.0003 0.4987 0.0003
Mn2 Mn 0.0812 0.4132 0.1673
Mn3 Mn 0.0825 0.1674 0.1700
Mn4 Mn 0.1647 0.0817 0.8336
Cu1 Cu 0.0000 0.0000 0.3838
Cu2 Cu 0.0000 0.0000 0.6175
Cu3 Cu 0.1627 0.8241 0.7068
O1 O 0.0000 0.0000 0.2424
O2 O 0.0000 0.0000 0.7588
O3 O 0.0123 0.4942 0.7645
O4 O 0.0134 0.2574 0.2482
O5 O 0.0220 0.7721 0.2548
O6 O 0.0743 0.9198 0.9011
O7 O 0.0789 0.1856 0.4188
O8 O 0.0896 0.4104 0.4208
O9 O 0.1042 0.6872 0.4136
O10 O 0.1554 0.0817 0.1005
O11 O 0.1626 0.3452 0.5714
O12 O 0.1850 0.0785 0.5831



[15]
# SCAN ScFeNi2C, single point on PBEsol structure
# Total magnetization (μB/f.u.): 1.2
# V (A^3/atom): 10.9
# Electronic total energy (eV per atom): -15.19
data_ScFeNi2C
_space_group_name_H-M_alt 'P 4/m m m'
_space_group_IT_number 123
_space_group_name_Hall '-P 4 2'
_cell_length_a 3.819
_cell_length_b 3.819
_cell_length_c 3.743
_cell_angle_alpha 90.00
_cell_angle_beta 90.00
_cell_angle_gamma 90.00
loop_
_atom_site_label
_atom_site_type_symbol
_atom_site_fract_x
_atom_site_fract_y
_atom_site_fract_z
Sc1 Sc 0.000 0.000 0.000
Fe1 Fe 0.500 0.500 0.000
Ni1 Ni 0.000 0.500 0.500
C1 C 0.500 0.500 0.500



[16]
# SCAN RbSm3F10, single point on PBEsol structure
# Formation energy from raw total energies (meV/atom): -4238
# Total magnetization (μB/f.u.): 0.2
# V (A^3/atom): 14.7
data_RbSm3F10
_space_group_name_H-M_alt 'F m -3 m'
_space_group_IT_number 225
_space_group_name_Hall '-F 4 2 3'
_cell_length_a 11.810
_cell_length_b 11.810
_cell_length_c 11.810
_cell_angle_alpha 90.00
_cell_angle_beta 90.00
_cell_angle_gamma 90.00
loop_
_atom_site_label
_atom_site_type_symbol
_atom_site_fract_x
_atom_site_fract_y
_atom_site_fract_z
Rb1 Rb 0.250 0.250 0.250
Sm1 Sm 0.000 0.000 0.240
F1 F 0.000 0.166 0.334
F2 F 0.111 0.111 0.111



[17]
# SCAN NiPdN2, single point on PBEsol structure
# Formation energy from raw total energies (meV/atom): 1344
# Total magnetization (μB/f.u.): 0.0
# V (A^3/atom): 9.0
data_NiPdN2
_space_group_name_H-M_alt 'F m -3 m'
_space_group_IT_number 225
_space_group_name_Hall '-F 4 2 3'
_cell_length_a 5.244
_cell_length_b 5.244
_cell_length_c 5.244
_cell_angle_alpha 90.00
_cell_angle_beta 90.00
_cell_angle_gamma 90.00
loop_
_atom_site_label
_atom_site_type_symbol
_atom_site_fract_x
_atom_site_fract_y
_atom_site_fract_z
Ni1 Ni 0.000 0.000 0.000
Pd1 Pd 0.000 0.000 0.500
N1 N 0.250 0.250 0.250



[18]
# SCAN KFe3, single point on PBEsol structure
# Total magnetization (μB/f.u.): 8.5
# V (A^3/atom): 16.5
# Electronic total energy (eV per atom): -14.67
data_KFe3
_space_group_name_H-M_alt 'I m m m'
_space_group_IT_number 71
_space_group_name_Hall '-I 2 2'
_cell_length_a 2.611
_cell_length_b 5.204
_cell_length_c 9.721
_cell_angle_alpha 90.00
_cell_angle_beta 90.00
_cell_angle_gamma 90.00
loop_
_atom_site_label
_atom_site_type_symbol
_atom_site_fract_x
_atom_site_fract_y
_atom_site_fract_z
K1 K 0.000 0.000 0.000
Fe1 Fe 0.000 0.000 0.500
Fe2 Fe 0.000 0.500 0.205



[19]
# SCAN AlGeBi3, single point on PBEsol structure
# Total magnetization (μB/f.u.): 0.0
# V (A^3/atom): 32.5
# Electronic total energy (eV per atom): -51.72
data_AlGeBi3
_space_group_name_H-M_alt 'P m -3 m'
_space_group_IT_number 221
_space_group_name_Hall '-P 4 2 3'
_cell_length_a 5.456
_cell_length_b 5.456
_cell_length_c 5.456
_cell_angle_alpha 90.00
_cell_angle_beta 90.00
_cell_angle_gamma 90.00
loop_
_atom_site_label
_atom_site_type_symbol
_atom_site_fract_x
_atom_site_fract_y
_atom_site_fract_z
Al1 Al 0.000 0.000 0.000
Ge1 Ge 0.500 0.500 0.500
Bi1 Bi 0.000 0.500 0.500



[20]
# SCAN CaZrZn2, single point on PBEsol structure
# Total magnetization (μB/f.u.): 0.5
# V (A^3/atom): 21.8
# Electronic total energy (eV per atom): -16.68
data_CaZrZn2
_space_group_name_H-M_alt 'R 3 m'
_space_group_IT_number 160
_space_group_name_Hall 'R 3 -2"'
_cell_length_a 3.3739
_cell_length_b 3.3739
_cell_length_c 26.5355
_cell_angle_alpha 90.00
_cell_angle_beta 90.00
_cell_angle_gamma 120.00
loop_
_atom_site_label
_atom_site_type_symbol
_atom_site_fract_x
_atom_site_fract_y
_atom_site_fract_z
Ca1 Ca 0.0000 0.0000 0.0000
Zr1 Zr 0.0000 0.0000 0.2250
Zn1 Zn 0.0000 0.0000 0.4816
Zn2 Zn 0.0000 0.0000 0.7544



[21]
# SCAN KNb2AlSe, single point on PBEsol structure
# Formation energy from raw total energies (meV/atom): 1072
# Total magnetization (μB/f.u.): 4.0
# V (A^3/atom): 25.1
data_KNb2AlSe
_space_group_name_H-M_alt 'P 4/m m m'
_space_group_IT_number 123
_space_group_name_Hall '-P 4 2'
_cell_length_a 4.875
_cell_length_b 4.875
_cell_length_c 5.287
_cell_angle_alpha 90.00
_cell_angle_beta 90.00
_cell_angle_gamma 90.00
loop_
_atom_site_label
_atom_site_type_symbol
_atom_site_fract_x
_atom_site_fract_y
_atom_site_fract_z
K1 K 0.000 0.000 0.000
Nb1 Nb 0.000 0.500 0.500
Al1 Al 0.500 0.500 0.500
Se1 Se 0.500 0.500 0.000



[22]
# SCAN SbMoIr2F, single point on PBEsol structure
# Formation energy from raw total energies (meV/atom): 957
# Total magnetization (μB/f.u.): 1.5
# V (A^3/atom): 15.7
data_SbMoIr2F
_space_group_name_H-M_alt 'P 4/m m m'
_space_group_IT_number 123
_space_group_name_Hall '-P 4 2'
_cell_length_a 4.497
_cell_length_b 4.497
_cell_length_c 3.893
_cell_angle_alpha 90.00
_cell_angle_beta 90.00
_cell_angle_gamma 90.00
loop_
_atom_site_label
_atom_site_type_symbol
_atom_site_fract_x
_atom_site_fract_y
_atom_site_fract_z
Sb1 Sb 0.000 0.000 0.000
Mo1 Mo 0.500 0.500 0.000
Ir1 Ir 0.000 0.500 0.500
F1 F 0.500 0.500 0.500